[1]
# Tb3Pm2Nd3

An optimized crystal structure of Tb3Pm2Nd3 (PBE-GGA, the Alexandria database).

Lattice parameters (Å, degrees): 8.692 8.692 6.083 109.90 109.90 39.45
Fractional coordinates of all 8 atoms:
Tb 0.000 0.000 0.000
Tb 0.130 0.130 0.579
Tb 0.870 0.870 0.421
Pm 0.250 0.250 0.183
Pm 0.750 0.750 0.817
Nd 0.367 0.367 0.810
Nd 0.500 0.500 0.500
Nd 0.633 0.633 0.190

Properties
Polymorph energy (0 for the lowest one), eV/atom: 0.060
Total magnetization, μB/f.u.: 0.00

***

[2]
# SiBr2Cl

An optimized crystal structure of SiBr2Cl (PBE-GGA, the Alexandria database).

Lattice parameters (Å, degrees): 6.470 6.470 9.149 90.00 90.00 148.99
Fractional coordinates of all 4 atoms:
Si 0.000 0.000 0.000
Br 0.500 0.500 0.206
Br 0.500 0.500 0.794
Cl 0.000 0.000 0.500

Properties
Polymorph energy (0 for the lowest one), eV/atom: 0.633
Total magnetization, μB/f.u.: 0.24
Raw formation energy, eV per atom: 0.157

***

[3]
# Pu3SiGe

An optimized crystal structure of Pu3SiGe (PBE-GGA, the Alexandria database).

Lattice parameters (Å, degrees): 7.766 8.481 6.916 90.00 90.00 90.00
Fractional coordinates of all 20 atoms:
Pu 0.000 0.000 0.246
Pu 0.000 0.000 0.754
Pu 0.109 0.361 0.252
Pu 0.109 0.361 0.748
Pu 0.391 0.861 0.248
Pu 0.391 0.861 0.752
Pu 0.500 0.500 0.254
Pu 0.500 0.500 0.746
Pu 0.609 0.139 0.248
Pu 0.609 0.139 0.752
Pu 0.891 0.639 0.252
Pu 0.891 0.639 0.748
Si 0.202 0.643 0.500
Si 0.298 0.143 0.000
Si 0.702 0.857 0.000
Si 0.798 0.357 0.500
Ge 0.201 0.642 0.000
Ge 0.299 0.142 0.500
Ge 0.701 0.858 0.500
Ge 0.799 0.358 0.000

Properties
Polymorph energy (0 for the lowest one), eV/atom: 0.000
Total magnetization, μB/f.u.: 16.47
Raw formation energy, eV per atom: -0.294